[1]
BaNb2ZnSe SCAN single point on PBEsol structure; energy relative to the elements, uncorrected = 0.628 eV per atom
1.0
-0.1813 2.6547 -4.0056
1.3094 -3.8295 -2.5973
-5.6865 -1.4619 -0.7114
Zn Nb Ba Se
1 2 1 1
Cartesian
-2.2792 -1.3183 -3.6572
0.6547 -1.9147 -1.2986
-0.0907 1.3274 -2.0028
-2.8433 -0.7309 -0.3557
0.0000 0.0000 0.0000


[2]
BaNbSi2Te SCAN single point on PBEsol structure; energy relative to the elements, uncorrected = 2.000 eV per atom
1.0
5.3678 0.0000 0.0000
0.0000 5.3678 0.0000
0.0000 0.0000 6.0436
Nb Te Si Ba
1 1 2 1
Cartesian
2.6839 2.6839 3.0218
0.0000 0.0000 3.0218
0.0000 2.6839 0.0000
2.6839 0.0000 0.0000
0.0000 0.0000 0.0000


[3]
BaSr3Nb SCAN single point on PBEsol structure; calculated formation energy = 684.2 meV/atom
1.0
6.0341 0.0000 0.0000
0.0000 6.0341 0.0000
0.0000 0.0000 6.0341
Sr Nb Ba
3 1 1
Cartesian
0.0000 3.0170 0.0000
0.0000 0.0000 3.0170
3.0170 0.0000 0.0000
0.0000 0.0000 0.0000
3.0170 3.0170 3.0170


[4]
Ba3TaNb SCAN single point on PBEsol structure; calculated formation energy = 1755.3 meV/atom
1.0
-4.0505 0.9992 -4.0682
-3.2961 -4.2527 2.2373
-2.5854 3.8563 3.5213
Nb Ba Ta
1 3 1
Cartesian
0.0000 0.0000 0.0000
-1.6480 -2.1264 1.1186
-1.2927 1.9282 1.7607
-2.0253 0.4996 -2.0341
-4.9660 0.3014 0.8452


[5]
BaNb2W SCAN single point on PBEsol structure; calculated formation energy = 1205.4 meV/atom
1.0
4.8386 0.0000 0.0000
2.4193 4.1903 0.0000
2.4193 1.3968 3.9507
Nb Ba W
2 1 1
Cartesian
2.4193 1.3968 0.9877
7.2579 4.1903 2.9630
0.0000 0.0000 0.0000
4.8386 2.7936 1.9753


[6]
Ba2NbW2 SCAN single point on PBEsol structure; calculated formation energy = 1809.7 meV/atom
1.0
4.1164 0.0000 0.0000
0.0000 4.1164 0.0000
-2.0582 -2.0582 7.5899
Nb Ba W
1 2 2
Cartesian
0.0000 0.0000 0.0000
0.0000 2.0582 3.7950
2.0582 0.0000 3.7950
0.0000 0.0000 6.4905
2.0582 2.0582 1.0994


Which E_tot belongs to each record? In order, -136.3 -120.0 -136.1 -209.6 -170.7 -242.6 eV per cell.
Which M_tot belongs to each record? In order, 0.00 2.82 0.72 3.33 0.00 0.00 μB per formula unit.